Entry 1:
## LaZn12Ag6 (PBE-GGA)

Data for a relaxed structure of LaZn12Ag6.

Geometry as POSCAR:
```
LaZn12Ag6
1.0
-0.245 5.661 4.601
3.155 -5.318 3.878
5.074 1.894 -4.893
Zn Ag La
12 6 1
Cartesian
3.120 -0.577 0.208 Zn
2.660 5.421 2.076 Zn
4.865 2.814 3.378 Zn
3.240 -1.708 5.231 Zn
1.908 2.595 5.514 Zn
5.325 -3.185 1.510 Zn
4.745 3.945 -1.644 Zn
2.259 2.203 0.391 Zn
6.212 1.860 0.974 Zn
6.077 -0.358 -1.928 Zn
1.773 0.377 2.613 Zn
5.726 0.033 3.195 Zn
3.631 -1.583 2.662 Ag
4.354 3.819 0.924 Ag
2.206 3.019 2.965 Ag
3.550 0.796 4.600 Ag
4.435 1.440 -1.014 Ag
5.779 -0.783 0.621 Ag
0.000 0.000 0.000 La
```

Output
Crystal system: trigonal
E_form (eV per atom): -0.041

=====

Entry 2:
## Rb3UF7 (PBE-GGA)

Data for a relaxed structure of Rb3UF7.

Geometry as POSCAR:
```
Rb3UF7
1.0
5.738 -0.032 2.764
-1.350 5.577 2.764
-0.382 -0.482 7.241
F U Rb
7 1 3
Cartesian
3.444 4.353 10.580 F
2.751 3.476 5.542 F
4.915 1.319 9.144 F
-0.419 3.565 3.590 F
0.449 0.568 1.931 F
0.154 5.087 9.144 F
3.566 0.412 3.590 F
4.203 5.312 5.489 U
2.141 2.705 2.894 Rb
3.883 1.087 6.366 Rb
0.165 4.029 6.366 Rb
```

Output
Crystal system: monoclinic
Formation energy without anion corrections (eV/atom): -3.220

=====

Entry 3:
## Rb2PtIBr6 (PBE-GGA)

Data for a relaxed structure of Rb2PtIBr6.

Geometry as POSCAR:
```
Rb2PtIBr6
1.0
-2.106 2.576 7.142
-7.460 0.671 -2.442
-5.851 -4.000 4.064
Br I Pt Rb
6 1 1 2
Cartesian
-10.013 0.895 5.416 Br
-7.365 2.500 3.617 Br
-2.202 0.748 1.082 Br
-3.339 2.138 4.935 Br
-5.404 -1.647 3.346 Br
-6.228 1.110 -0.236 Br
-4.783 1.624 2.350 I
0.000 0.000 0.000 Pt
-6.370 0.100 6.777 Rb
-9.047 -0.852 1.985 Rb
```

Output
Crystal system: tetragonal
Relative energy among the computed polymorphs (eV per atom): 0.0102
Formation energy without anion corrections (eV/atom): -0.815

=====

Entry 4:
## Rb2TlHg3Pb4 (PBE-GGA)

Data for a relaxed structure of Rb2TlHg3Pb4.

Geometry as POSCAR:
```
Rb2TlHg3Pb4
1.0
-1.827 2.335 -4.268
2.157 -3.698 -2.946
-10.845 -6.982 0.824
Pb Tl Hg Rb
4 1 3 2
Cartesian
0.000 0.000 0.000 Pb
-2.883 -4.400 -1.172 Pb
-7.797 -3.264 -1.611 Pb
0.165 -0.682 -3.607 Pb
-5.258 -4.173 -3.195 Tl
-10.285 -4.865 -1.422 Hg
-0.396 -2.798 -1.361 Hg
-5.423 -3.491 0.412 Hg
-7.028 -7.067 -0.857 Rb
-3.653 -0.596 -1.926 Rb
```

Output
Crystal system: tetragonal
E_form (eV per atom): -0.104

=====

Entry 5:
## MgSc2Nb (PBE-GGA)

Data for a relaxed structure of MgSc2Nb.

Geometry as POSCAR:
```
MgSc2Nb
1.0
0.000 3.515 3.515
3.515 0.000 3.515
3.515 3.515 0.000
Sc Mg Nb
2 1 1
Cartesian
5.273 5.273 5.273 Sc
1.758 1.758 1.758 Sc
0.000 0.000 0.000 Mg
3.515 3.515 3.515 Nb
```

Output
Crystal system: cubic
Relative energy among the computed polymorphs (eV per atom): 0.1518
E_form (eV per atom): 0.178

=====

Entry 6:
## Ac2Ce3DySe6 (PBE-GGA)

Data for a relaxed structure of Ac2Ce3DySe6.

Geometry as POSCAR:
```
Ac2Ce3DySe6
1.0
-6.317 -3.747 -0.933
6.474 -3.592 -0.014
-0.539 1.556 7.240
Se Ce Dy Ac
6 3 1 2
Cartesian
1.935 -1.363 1.755 Se
-2.132 -1.412 1.463 Se
-0.019 -5.246 1.156 Se
-0.363 -0.537 5.137 Se
1.750 -4.371 4.830 Se
-2.317 -4.420 4.538 Se
-4.379 -2.943 2.845 Ce
-0.191 -2.892 3.146 Ce
3.997 -2.840 3.447 Ce
0.000 0.000 0.000 Dy
2.197 -3.644 -0.321 Ac
-2.039 -3.695 -0.626 Ac
```

Output
Crystal system: monoclinic
Formation energy without anion corrections (eV/atom): -1.800

=====

Entry 7:
## GdLuZnAg (PBE-GGA)

Data for a relaxed structure of GdLuZnAg.

Geometry as POSCAR:
```
GdLuZnAg
1.0
5.079 0.000 0.000
2.540 4.399 0.000
2.540 1.466 4.147
Lu Gd Ag Zn
1 1 1 1
Cartesian
5.079 2.932 2.074 Lu
0.000 0.000 0.000 Gd
2.540 1.466 1.037 Ag
7.619 4.399 3.110 Zn
```

Output
Crystal system: cubic
E_form (eV per atom): -0.319

=====

Entry 8:
## RuS2N (PBE-GGA)

Data for a relaxed structure of RuS2N.

Geometry as POSCAR:
```
RuS2N
1.0
-2.796 -3.544 2.300
3.799 -0.901 3.229
-1.278 1.150 5.799
S N Ru
4 2 2
Cartesian
1.639 -0.802 3.810 S
-0.171 -3.005 9.111 S
-1.526 -1.957 3.237 S
-0.493 -0.825 6.499 S
0.501 -2.223 2.765 N
1.511 -0.987 5.896 N
0.000 0.000 0.000 Ru
-1.786 -2.308 5.432 Ru
```

Output
Crystal system: tetragonal
Formation energy without anion corrections (eV/atom): 0.851

=====

Entry 9:
## Mn4NiIr (PBE-GGA)

Data for a relaxed structure of Mn4NiIr.

Geometry as POSCAR:
```
Mn4NiIr
1.0
2.343 2.048 3.412
-0.522 4.523 0.769
-2.223 1.459 3.775
Mn Ir Ni
4 1 1
Cartesian
-1.249 3.744 4.860 Mn
-0.152 3.024 2.997 Mn
-0.409 5.256 3.376 Mn
1.004 4.035 4.681 Mn
0.000 0.000 0.000 Ir
-0.302 6.022 5.968 Ni
```

Output
Crystal system: cubic
E_form (eV per atom): 0.111

=====

Entry 10:
## InAg2Hg2 (PBE-GGA)

Data for a relaxed structure of InAg2Hg2.

Geometry as POSCAR:
```
InAg2Hg2
1.0
-0.042 -3.854 1.771
3.569 -0.990 -2.068
5.423 -0.076 5.044
Ag In Hg
2 1 2
Cartesian
2.488 -1.957 0.880 Ag
6.461 -2.962 3.867 Ag
0.000 0.000 0.000 In
3.572 -3.176 3.333 Hg
5.378 -1.744 1.414 Hg
```

Output
Crystal system: tetragonal
Relative energy among the computed polymorphs (eV per atom): 0.1003
E_form (eV per atom): 0.139